DFT (PBE) results for CuAg4 after structural relaxation.

extended XYZ file:
```
10
Lattice="4.5638 -2.0584 0.0000 4.5638 2.0584 0.0000 -0.2585 0.0000 8.9375" Properties=species:S:1:pos:R:3 pbc="T T T"
Ag 3.0516 0.0000 4.0095
Ag 8.5602 0.0000 5.8901
Ag 2.1997 0.0000 6.8683
Ag 4.9516 0.0000 7.7095
Ag 5.8174 0.0000 4.9280
Ag 6.6693 0.0000 2.0691
Cu 7.6007 0.0000 8.5108
Ag 0.3088 0.0000 3.0474
Ag 3.9174 0.0000 1.2280
Cu 1.2683 0.0000 0.4267
```

Summary:
- E above lowest polymorph (eV per atom) = 0.024
- E_tot (eV/atom) = -2.95
- E_form (eV/f.u.) = 0.2
- space-group type = No. 12


DFT (PBE) results for BMo2S after structural relaxation.

extended XYZ file:
```
8
Lattice="3.2271 0.0000 0.0000 -1.6135 2.7947 0.0000 0.0000 0.0000 11.7217" Properties=species:S:1:pos:R:3 pbc="T T T"
Mo 1.6135 0.9316 7.0074
Mo 0.0000 1.8632 4.7144
B 0.0000 0.0000 5.8609
S 1.6135 0.9316 2.9304
Mo 0.0000 1.8632 1.1465
B 0.0000 0.0000 0.0000
Mo 1.6135 0.9316 10.5752
S 0.0000 1.8632 8.7913
```

Summary:
- E_tot (eV/atom) = -8.42
- space-group type = No. 194
- spin magnetization (μB/cell) = 0.01


DFT (PBE) results for FeSbWAu after structural relaxation.

extended XYZ file:
```
4
Lattice="0.0000 3.2224 3.2224 3.2224 0.0000 3.2224 3.2224 3.2224 0.0000" Properties=species:S:1:pos:R:3 pbc="T T T"
Sb 0.0000 0.0000 0.0000
W 1.6112 1.6112 1.6112
Au 3.2224 3.2224 3.2224
Fe 4.8336 4.8336 4.8336
```

Summary:
- E above lowest polymorph (eV per atom) = 0.000
- E_tot (eV/atom) = -6.61
- space-group type = No. 216
- spin magnetization (μB/cell) = 2.32


DFT (PBE) results for TmTlOs after structural relaxation.

extended XYZ file:
```
3
Lattice="2.6560 -0.6154 3.8561 -1.9355 0.4014 4.2890 -0.5958 -3.8355 2.6901" Properties=species:S:1:pos:R:3 pbc="T T T"
Os 0.0312 -1.0124 2.7088
Tl 0.0935 -3.0371 8.1264
Tm 0.0000 0.0000 0.0000
```

Summary:
- E above lowest polymorph (eV per atom) = 0.117
- E_tot (eV/atom) = -5.23
- space-group type = No. 216
- spin magnetization (μB/cell) = 0.01


DFT (PBE) results for PaIrPt after structural relaxation.

extended XYZ file:
```
3
Lattice="-3.0899 -3.3193 -0.8092 -4.3246 1.1065 -1.1373 -1.5156 -0.7406 -4.2865" Properties=species:S:1:pos:R:3 pbc="T T T"
Pa 0.0000 0.0000 0.0000
Ir -2.2325 -0.7383 -1.5583
Pt -6.6975 -2.2150 -4.6748
```

Summary:
- E above lowest polymorph (eV per atom) = 0.092
- E_tot (eV/atom) = -8.58
- E_form (eV/f.u.) = -1.3
- space-group type = No. 216
- spin magnetization (μB/cell) = 0.00


DFT (PBE) results for BaTaGe after structural relaxation.

extended XYZ file:
```
3
Lattice="0.0000 3.6624 3.6624 3.6624 0.0000 3.6624 3.6624 3.6624 0.0000" Properties=species:S:1:pos:R:3 pbc="T T T"
Ta 5.4936 5.4936 5.4936
Ge 1.8312 1.8312 1.8312
Ba 0.0000 0.0000 0.0000
```

Summary:
- E_tot (eV/atom) = -4.40
- space-group type = No. 216
- spin magnetization (μB/cell) = 2.72


DFT (PBE) results for LiNbCoSi after structural relaxation.

extended XYZ file:
```
4
Lattice="0.4548 -0.4529 4.1291 -3.2808 -1.0643 2.3590 -0.1915 -3.8043 1.7183" Properties=species:S:1:pos:R:3 pbc="T T T"
Co -2.2632 -3.9911 6.1549
Li -1.5088 -2.6607 4.1032
Nb -0.7544 -1.3304 2.0516
Si 0.0000 0.0000 0.0000
```

Summary:
- E above lowest polymorph (eV per atom) = 0.192
- E_tot (eV/atom) = -6.20
- space-group type = No. 216
- spin magnetization (μB/cell) = 1.56


DFT (PBE) results for BaCuReOs after structural relaxation.

extended XYZ file:
```
4
Lattice="0.0000 3.3606 3.3606 3.3606 0.0000 3.3606 3.3606 3.3606 0.0000" Properties=species:S:1:pos:R:3 pbc="T T T"
Ba 0.0000 0.0000 0.0000
Cu 5.0408 5.0408 5.0408
Re 3.3606 3.3606 3.3606
Os 1.6803 1.6803 1.6803
```

Summary:
- E above lowest polymorph (eV per atom) = 0.076
- E_tot (eV/atom) = -5.97
- space-group type = No. 216
- spin magnetization (μB/cell) = 0.00